The following is a GGA-PBE calculation of crystalline SrNpAlO6 at its relaxed geometry, from Alexandria via LeMat-Bulk. Values from VASP.

Quantum ESPRESSO input file:
```
&SYSTEM
  ibrav = 0, nat = 18, ntyp = 4
/
ATOMIC_SPECIES
O 16.00 O.upf
Sr 87.62 Sr.upf
Np 237.00 Np.upf
Al 26.98 Al.upf
ATOMIC_POSITIONS angstrom
O -3.805 -7.937 4.274
O -4.047 -5.886 6.138
O -3.834 1.543 2.513
O -1.379 0.292 2.133
O -4.848 -4.224 4.392
O -2.649 -5.762 3.656
O -4.990 -0.632 3.131
O -2.524 -0.204 4.345
O -2.792 -2.170 2.395
O -6.261 -6.686 4.655
O -3.593 -0.508 0.649
O -5.116 -6.190 2.442
Sr -1.255 -3.626 3.828
Sr 0.000 0.000 0.000
Np -4.440 -3.906 6.356
Np -3.200 -2.488 0.432
Al -4.454 -6.114 4.260
Al -3.185 -0.280 2.528
CELL_PARAMETERS angstrom
-2.543 3.741 2.710
-2.587 -2.883 -3.579
-2.510 -7.252 7.656
```

Summary:
**Crystal system**: trigonal
**SG**: P-31c
**ΔE_f (raw)**: -25.15 eV/f.u.
**VASP energy**: -8.14 eV per atom

---

The following is a GGA-PBE calculation of crystalline SrNp2AlO8 at its relaxed geometry, from Alexandria via LeMat-Bulk. Values from VASP.

Quantum ESPRESSO input file:
```
&SYSTEM
  ibrav = 0, nat = 12, ntyp = 4
/
ATOMIC_SPECIES
O 16.00 O.upf
Np 237.00 Np.upf
Sr 87.62 Sr.upf
Al 26.98 Al.upf
ATOMIC_POSITIONS angstrom
O -1.021 -1.385 -1.286
O -3.573 -4.718 -0.107
O -4.973 -6.486 2.528
O -0.622 -4.184 -0.996
O -2.421 -3.153 1.348
O -3.831 -1.752 -1.068
O -2.163 -6.118 2.309
O -5.372 -3.687 2.237
Np -2.320 -3.085 -0.831
Np -3.674 -4.786 2.073
Sr -1.291 -1.622 2.771
Al 0.000 0.000 0.000
CELL_PARAMETERS angstrom
-4.369 -0.294 -2.209
0.958 -4.333 -2.091
-2.582 -3.243 5.541
```

Summary:
**Crystal system**: orthorhombic
**DOS at the Fermi energy**: 6.1 states/eV per cell
**SG**: Cmmm
**ΔE_f (raw)**: -33.96 eV/f.u.
**VASP energy**: -8.74 eV per atom

---

The following is a GGA-PBE calculation of crystalline NpTaAlO6 at its relaxed geometry, from Alexandria via LeMat-Bulk. Values from VASP.

Quantum ESPRESSO input file:
```
&SYSTEM
  ibrav = 0, nat = 18, ntyp = 4
/
ATOMIC_SPECIES
O 16.00 O.upf
Np 237.00 Np.upf
Al 26.98 Al.upf
Ta 180.95 Ta.upf
ATOMIC_POSITIONS angstrom
O -1.601 2.867 3.512
O 1.829 0.047 6.237
O 3.430 2.820 8.386
O 4.157 1.561 6.237
O 0.727 4.381 3.512
O 0.874 1.608 3.512
O 3.283 0.047 8.386
O -0.874 1.608 1.362
O -0.727 4.381 1.362
O 1.601 2.867 1.362
O 0.955 1.561 8.386
O 1.682 2.820 6.237
Np 0.000 0.000 4.874
Np 0.000 0.000 0.000
Al 2.556 1.476 7.311
Al 0.000 2.952 2.437
Ta 0.000 2.952 7.311
Ta 2.556 1.476 2.437
CELL_PARAMETERS angstrom
5.112 0.000 0.000
-2.556 4.427 0.000
0.000 0.000 9.749
```

Summary:
**Crystal system**: trigonal
**DOS at the Fermi energy**: 11.7 states/eV per cell
**SG**: P-31c
**ΔE_f (raw)**: -26.16 eV/f.u.
**VASP energy**: -9.38 eV per atom